(1)
CsGaPt | GGA-PBE | optimized geometry

The value obtained for the distance to the lowest polymorph of the same formula is 0 meV/atom.

Lattice parameters (Å, degrees): 4.6260 5.0350 12.5839 118.31 89.97 89.99
Last column: nearest neighbours and their distance in Å.
Sites, in units of the cell vectors:
Cs 0.3078 0.9664 0.1696  3 Pt 3.42-3.76, 1 Ga 3.79
Cs 0.8066 0.8304 0.7121  3 Pt 3.42-3.75, 1 Ga 3.79
Pt 0.8054 0.5222 0.4043  4 Ga 2.51-2.57
Pt 0.3055 0.2751 0.4773  4 Ga 2.51-2.57
Ga 0.3054 0.7407 0.4441  4 Pt 2.51-2.57
Ga 0.8056 0.0568 0.4376  4 Pt 2.51-2.57

=====

(2)
Re2AgSe | GGA-PBE | optimized geometry

As for the total energy: -6.720 eV/atom.

Lattice parameters (Å, degrees): 4.9380 4.9380 2.9141 90.00 90.00 113.69
Last column: nearest neighbours and their distance in Å.
Sites, in units of the cell vectors:
Ag 0.0000 0.5000 0.5000  2 Se 2.70, 8 Re 2.87, 2 Ag 2.91
Se 0.5000 0.0000 0.5000  2 Ag 2.70, 8 Re 2.87, 2 Se 2.91
Re 0.0000 0.0000 0.0000  4 Re 2.70-2.91, 4 Ag 2.87, 4 Se 2.87
Re 0.5000 0.5000 0.0000  4 Re 2.70-2.91, 4 Se 2.87, 4 Ag 2.87